No. 1
CeTh8Bi6 | PBE | optimized geometry

Properties
Calculated total energy ... -6.12 eV per atom
Energy of formation ... -212 meV/atom

Geometry as CIF:
```
data_CeTh8Bi6
_space_group_name_H-M_alt 'P 1'
_space_group_IT_number 1
_cell_length_a 9.391
_cell_length_b 9.391
_cell_length_c 8.660
_cell_angle_alpha 57.17
_cell_angle_beta 57.17
_cell_angle_gamma 60.00
loop_
_space_group_symop_operation_xyz
'x,y,z'
loop_
_atom_site_label
_atom_site_fract_x
_atom_site_fract_y
_atom_site_fract_z
Bi1 0.383 0.065 0.815
Th1 0.666 0.666 0.001
Bi2 0.263 0.617 0.185
Bi3 0.737 0.383 0.815
Bi4 0.935 0.263 0.185
Th2 0.542 0.237 0.327
Ce1 0.000 0.000 0.000
Th3 0.237 0.895 0.327
Th4 0.334 0.334 0.999
Th5 0.458 0.763 0.673
Th6 0.895 0.542 0.327
Th7 0.105 0.458 0.673
Bi5 0.065 0.737 0.815
Th8 0.763 0.105 0.673
Bi6 0.617 0.935 0.185
```

---

No. 2
B5C7 | PBE | optimized geometry

Properties
Calculated total energy ... -7.75 eV per atom
ΔE to the lowest computed polymorph ... 15.4 kJ per mole of atoms
Energy of formation ... 418 meV/atom

Geometry as CIF:
```
data_B5C7
_space_group_name_H-M_alt 'P 1'
_space_group_IT_number 1
_cell_length_a 2.619
_cell_length_b 4.479
_cell_length_c 6.820
_cell_angle_alpha 89.54
_cell_angle_beta 90.00
_cell_angle_gamma 90.00
loop_
_space_group_symop_operation_xyz
'x,y,z'
loop_
_atom_site_label
_atom_site_fract_x
_atom_site_fract_y
_atom_site_fract_z
B1 0.000 0.302 0.345
B2 0.000 0.260 0.590
B3 0.500 0.490 0.215
C1 0.500 0.168 0.701
C2 0.500 0.160 0.923
C3 0.000 0.971 0.225
C4 0.000 0.666 0.910
B4 0.500 0.906 0.343
B5 0.000 0.732 0.681
C5 0.000 0.995 0.002
C6 0.500 0.502 0.987
C7 0.500 0.847 0.577
```

---

No. 3
Ba3Sr2Tl2 | PBE | optimized geometry

Properties
Calculated total energy ... -2.22 eV per atom
Energy of formation ... -238 meV/atom

Geometry as CIF:
```
data_Ba3Sr2Tl2
_space_group_name_H-M_alt 'P 1'
_space_group_IT_number 1
_cell_length_a 4.464
_cell_length_b 8.179
_cell_length_c 10.489
_cell_angle_alpha 105.26
_cell_angle_beta 102.35
_cell_angle_gamma 105.84
loop_
_space_group_symop_operation_xyz
'x,y,z'
loop_
_atom_site_label
_atom_site_fract_x
_atom_site_fract_y
_atom_site_fract_z
Tl1 0.968 0.152 0.785
Tl2 0.032 0.848 0.215
Sr1 0.335 0.498 0.171
Sr2 0.665 0.502 0.829
Ba1 0.820 0.201 0.438
Ba2 0.180 0.799 0.562
Ba3 0.500 0.000 0.000
```

---

No. 4
Cd2CoRe | PBE | optimized geometry

Properties
Calculated total energy ... -4.67 eV per atom
ΔE to the lowest computed polymorph ... 44.0 kJ per mole of atoms
Energy of formation ... 680 meV/atom

Geometry as CIF:
```
data_Cd2CoRe
_space_group_name_H-M_alt 'P 1'
_space_group_IT_number 1
_cell_length_a 4.341
_cell_length_b 3.890
_cell_length_c 3.890
_cell_angle_alpha 90.00
_cell_angle_beta 90.00
_cell_angle_gamma 90.00
loop_
_space_group_symop_operation_xyz
'x,y,z'
loop_
_atom_site_label
_atom_site_fract_x
_atom_site_fract_y
_atom_site_fract_z
Re1 0.500 0.000 0.500
Cd1 0.000 0.000 0.000
Cd2 0.000 0.500 0.500
Co1 0.500 0.500 0.000
```

---

No. 5
ScBeAs2 | PBE | optimized geometry

Properties
Calculated total energy ... -5.02 eV per atom
Energy of formation ... -180 meV/atom

Geometry as CIF:
```
data_ScBeAs2
_space_group_name_H-M_alt 'P 1'
_space_group_IT_number 1
_cell_length_a 4.948
_cell_length_b 4.948
_cell_length_c 4.948
_cell_angle_alpha 131.30
_cell_angle_beta 131.30
_cell_angle_gamma 71.34
loop_
_space_group_symop_operation_xyz
'x,y,z'
loop_
_atom_site_label
_atom_site_fract_x
_atom_site_fract_y
_atom_site_fract_z
Sc1 0.750 0.250 0.500
As1 0.500 0.500 0.000
Be1 0.250 0.750 0.500
As2 0.000 0.000 0.000
```

---

No. 6
KCaTa | PBE | optimized geometry

Properties
Calculated total energy ... -3.69 eV per atom
ΔE to the lowest computed polymorph ... 92.9 kJ per mole of atoms
Energy of formation ... 1296 meV/atom

Geometry as CIF:
```
data_KCaTa
_space_group_name_H-M_alt 'P 1'
_space_group_IT_number 1
_cell_length_a 5.983
_cell_length_b 5.983
_cell_length_c 2.903
_cell_angle_alpha 90.00
_cell_angle_beta 90.00
_cell_angle_gamma 120.00
loop_
_space_group_symop_operation_xyz
'x,y,z'
loop_
_atom_site_label
_atom_site_fract_x
_atom_site_fract_y
_atom_site_fract_z
Ta1 0.333 0.667 0.000
K1 0.667 0.333 0.500
Ca1 0.000 0.000 0.000
```